SrNbAg2Pb | PBE | optimized geometry

As for the total DFT energy (no corrections): -2.70 eV/atom. As for the space group: P4/mmm, No. 123.

Geometry as extended XYZ:
```
5
Lattice="5.4488 0.0000 0.0000 0.0000 5.4488 0.0000 0.0000 0.0000 5.5904" Properties=species:S:1:pos:R:3 pbc="T T T"
Sr 0.0000 0.0000 0.0000
Nb 0.0000 0.0000 2.7952
Ag 0.0000 2.7244 0.0000
Ag 2.7244 0.0000 0.0000
Pb 2.7244 2.7244 2.7952
```